# 1
{
  "formula": "Pu2TiNb",
  "functional": "PBE-GGA",
  "state": "relaxed",
  "formation_enthalpy_0k_kcal_per_mol_atoms": 7.66,
  "energy_ev_per_atom": -11.3248,
  "n_ef_per_ev_cell": 9.438,
  "total_magnetization_mub_per_fu": 11.101,
  "polymorph_energy_mev_per_atom": 0,
  "lattice_angstrom": [[0.0000, 3.4747, 3.4747], [3.4747, 0.0000, 3.4747], [3.4747, 3.4747, 0.0000]],
  "species": ["Pu", "Pu", "Ti", "Nb"],
  "frac_coords": [[0.2500, 0.2500, 0.2500], [0.7500, 0.7500, 0.7500], [0.0000, 0.0000, 0.0000], [0.5000, 0.5000, 0.5000]]
}



# 2
{
  "formula": "Rb2Pm2USe6",
  "functional": "PBE-GGA",
  "state": "relaxed",
  "e_form_raw_ev_per_fu": -17.4,
  "energy_ev_per_atom": -5.5499,
  "n_ef_per_ev_cell": 6.851,
  "total_magnetization_mub_per_fu": 2.000,
  "lattice_angstrom": [[3.7067, -6.3780, 0.0000], [3.7067, 6.3780, 0.0000], [-2.5164, 0.0000, 8.1827]],
  "species": ["Rb", "Rb", "Pm", "Pm", "U", "Se", "Se", "Se", "Se", "Se", "Se"],
  "frac_coords": [[0.1697, 0.8303, 0.0000], [0.8303, 0.1697, 0.0000], [0.3335, 0.6665, 0.5000], [0.6665, 0.3335, 0.5000], [0.0000, 0.0000, 0.5000], [0.0654, 0.3887, 0.6934], [0.2552, 0.2552, 0.3074], [0.3887, 0.0654, 0.6934], [0.6113, 0.9346, 0.3066], [0.7448, 0.7448, 0.6926], [0.9346, 0.6113, 0.3066]]
}



# 3
{
  "formula": "NdTe2O8",
  "functional": "PBE-GGA",
  "state": "relaxed",
  "e_form_raw_ev_per_fu": -13.4,
  "energy_ev_per_atom": -5.8322,
  "total_magnetization_mub_per_fu": 1.043,
  "polymorph_energy_mev_per_atom": 0,
  "lattice_angstrom": [[4.8243, -3.1282, 0.0000], [4.8243, 3.1282, 0.0000], [-0.9648, 0.0000, 5.4509]],
  "species": ["Nd", "Te", "Te", "O", "O", "O", "O", "O", "O", "O", "O"],
  "frac_coords": [[0.0000, 0.0000, 0.0000], [0.2760, 0.2760, 0.5362], [0.7240, 0.7240, 0.4638], [0.0587, 0.6507, 0.6685], [0.1875, 0.1875, 0.8065], [0.3493, 0.9413, 0.3315], [0.4137, 0.4137, 0.3300], [0.5863, 0.5863, 0.6700], [0.6507, 0.0587, 0.6685], [0.8125, 0.8125, 0.1935], [0.9413, 0.3493, 0.3315]]
}



# 4
{
  "formula": "SiHgBr2",
  "functional": "PBE-GGA",
  "state": "relaxed",
  "e_form_raw_ev_per_fu": 1.4,
  "energy_ev_per_atom": -1.9259,
  "n_ef_per_ev_cell": 2.085,
  "total_magnetization_mub_per_fu": 0.000,
  "polymorph_energy_mev_per_atom": 575,
  "lattice_angstrom": [[3.4132, -3.9462, 0.0000], [3.4132, 3.9462, 0.0000], [0.0000, 0.0000, 3.7853]],
  "species": ["Si", "Hg", "Br", "Br"],
  "frac_coords": [[0.0000, 0.0000, 0.0000], [0.5000, 0.5000, 0.0000], [0.0000, 0.5000, 0.5000], [0.5000, 0.0000, 0.5000]]
}



# 5
{
  "formula": "Dy2ErTmTe6",
  "functional": "PBE-GGA",
  "state": "relaxed",
  "e_form_raw_ev_per_fu": -13.5,
  "energy_ev_per_atom": -5.0582,
  "total_magnetization_mub_per_fu": 0.000,
  "lattice_angstrom": [[3.8254, 2.2086, 6.9899], [-3.8254, 2.2086, 6.9899], [0.0000, -4.4172, 6.9899]],
  "species": ["Dy", "Dy", "Er", "Tm", "Te", "Te", "Te", "Te", "Te", "Te"],
  "frac_coords": [[0.0000, 0.0000, 0.0000], [0.4998, 0.4998, 0.4998], [0.1853, 0.1853, 0.1853], [0.6850, 0.6850, 0.6850], [0.0879, 0.4111, 0.7814], [0.2820, 0.9096, 0.5894], [0.4111, 0.7814, 0.0879], [0.5894, 0.2820, 0.9096], [0.7814, 0.0879, 0.4111], [0.9096, 0.5894, 0.2820]]
}



# 6
{
  "formula": "Mg2C",
  "functional": "PBE-GGA",
  "state": "relaxed",
  "formation_enthalpy_0k_kcal_per_mol_atoms": 12.22,
  "energy_ev_per_atom": -3.6080,
  "n_ef_per_ev_cell": 0.932,
  "total_magnetization_mub_per_fu": 0.000,
  "polymorph_energy_mev_per_atom": 280,
  "lattice_angstrom": [[3.0552, -1.7614, 0.0000], [3.0552, 1.7614, 0.0000], [-0.0680, 0.0000, 4.8721]],
  "species": ["Mg", "Mg", "C"],
  "frac_coords": [[0.1647, 0.1647, 0.3080], [0.8353, 0.8353, 0.6920], [0.5000, 0.5000, 0.5000]]
}